# 1
Nd6SmErSc2 | PBE | optimized geometry

Geometry as CIF:
```
data_Nd6SmErSc2
_symmetry_space_group_name_H-M 'P 1'
_symmetry_Int_Tables_number 1
_cell_length_a 9.589
_cell_length_b 8.798
_cell_length_c 8.798
_cell_angle_alpha 117.29
_cell_angle_beta 94.21
_cell_angle_gamma 94.21
loop_
_symmetry_equiv_pos_as_xyz
'x,y,z'
loop_
_atom_site_label
_atom_site_type_symbol
_atom_site_fract_x
_atom_site_fract_y
_atom_site_fract_z
Nd1 Nd 0.053 0.109 0.761
Nd2 Nd 0.447 0.239 0.891
Nd3 Nd 0.947 0.891 0.239
Nd4 Nd 0.553 0.761 0.109
Nd5 Nd 0.317 0.991 0.441
Nd6 Nd 0.183 0.559 0.009
Nd7 Nd 0.683 0.009 0.559
Nd8 Nd 0.817 0.441 0.991
Nd9 Nd 0.117 0.700 0.492
Nd10 Nd 0.383 0.508 0.300
Nd11 Nd 0.883 0.300 0.508
Nd12 Nd 0.617 0.492 0.700
Sm1 Sm 0.250 0.970 0.030
Sm2 Sm 0.750 0.030 0.970
Er1 Er 0.250 0.409 0.591
Er2 Er 0.750 0.591 0.409
Sc1 Sc 0.450 0.800 0.704
Sc2 Sc 0.050 0.296 0.200
Sc3 Sc 0.550 0.200 0.296
Sc4 Sc 0.950 0.704 0.800
```

Computed properties:
DOS(E_F): 31.5 states/eV per cell
ΔH_f (0 K): 11.97 kJ/mol of atoms
E: -4.931 eV/atom
Total magnetic moment: 0.000 μB/atom

---

# 2
PmTiSiO6 | PBE | optimized geometry

Geometry as CIF:
```
data_PmTiSiO6
_symmetry_space_group_name_H-M 'P 1'
_symmetry_Int_Tables_number 1
_cell_length_a 5.008
_cell_length_b 5.002
_cell_length_c 5.002
_cell_angle_alpha 120.00
_cell_angle_beta 90.00
_cell_angle_gamma 90.00
loop_
_symmetry_equiv_pos_as_xyz
'x,y,z'
loop_
_atom_site_label
_atom_site_type_symbol
_atom_site_fract_x
_atom_site_fract_y
_atom_site_fract_z
Pm1 Pm 0.000 0.333 0.667
Ti1 Ti 0.500 0.667 0.333
Si1 Si 0.500 0.000 0.000
O1 O 0.704 0.719 0.692
O2 O 0.704 0.308 0.027
O3 O 0.704 0.973 0.281
O4 O 0.296 0.308 0.281
O5 O 0.296 0.719 0.027
O6 O 0.296 0.973 0.692
```

Computed properties:
DOS(E_F): 5.5 states/eV per cell
Formation energy without anion corrections: -2.767 eV per atom
E: -8.080 eV/atom
Total magnetic moment: 0.118 μB/atom

---

> Number 1 is which compound?

Nd6SmErSc2